Nd3ZnGa: optimized geometry, PBE. Values from VASP.

The structure in Quantum ESPRESSO input format:
```
&SYSTEM
  ibrav = 0, nat = 10, ntyp = 3
/
ATOMIC_SPECIES
Nd 144.24 Nd.upf
Zn 65.41 Zn.upf
Ga 69.72 Ga.upf
ATOMIC_POSITIONS angstrom
Nd -1.313 -2.243 10.211
Nd -1.286 -2.259 14.729
Nd -1.286 2.259 10.211
Nd -1.313 2.243 14.729
Nd 2.599 -0.016 10.211
Nd 2.599 0.016 14.729
Zn 0.000 0.000 4.145
Zn 0.000 0.000 20.795
Ga 0.000 0.000 8.743
Ga 0.000 0.000 16.197
CELL_PARAMETERS angstrom
3.365 1.943 8.313
-3.365 1.943 8.313
0.000 -3.886 8.313
```

Computed properties:
size of the total moment = 0.00 Bohr magnetons per cell
V = 32.6 Å³ per atom
space group = R32
energy above the most stable polymorph in this dataset = 1.64 eV per formula unit
ΔE_f = -0.094 kcal/mol of atoms

***

MnAlS2N: optimized geometry, PBE. Values from VASP.

The structure in Quantum ESPRESSO input format:
```
&SYSTEM
  ibrav = 0, nat = 5, ntyp = 4
/
ATOMIC_SPECIES
Mn 54.94 Mn.upf
Al 26.98 Al.upf
S 32.06 S.upf
N 14.01 N.upf
ATOMIC_POSITIONS angstrom
Mn 0.000 0.000 0.000
Al 2.373 2.373 1.833
S 0.000 2.373 1.833
S 2.373 0.000 1.833
N 2.373 2.373 0.000
CELL_PARAMETERS angstrom
4.746 0.000 0.000
0.000 4.746 0.000
0.000 0.000 3.666
```

Computed properties:
size of the total moment = 3.00 Bohr magnetons per cell
V = 16.5 Å³ per atom
space group = P4/mmm
formation energy without anion corrections = 1.1 eV per formula unit
energy above the most stable polymorph in this dataset = 0.51 eV per formula unit

***

SrBeRu4: optimized geometry, PBE. Values from VASP.

The structure in Quantum ESPRESSO input format:
```
&SYSTEM
  ibrav = 0, nat = 6, ntyp = 3
/
ATOMIC_SPECIES
Sr 87.62 Sr.upf
Be 9.01 Be.upf
Ru 101.07 Ru.upf
ATOMIC_POSITIONS angstrom
Sr 0.000 0.000 0.000
Be 5.587 5.587 5.587
Ru 2.802 2.802 2.802
Ru 4.647 4.647 2.802
Ru 4.647 2.802 4.647
Ru 2.802 4.647 4.647
CELL_PARAMETERS angstrom
0.000 3.725 3.725
3.725 0.000 3.725
3.725 3.725 0.000
```

Computed properties:
size of the total moment = 2.55 Bohr magnetons per cell
V = 17.2 Å³ per atom
space group = F-43m
ΔE_f = 14.604 kcal/mol of atoms

***

In2Sn3Hg8: optimized geometry, PBE. Values from VASP.

The structure in Quantum ESPRESSO input format:
```
&SYSTEM
  ibrav = 0, nat = 13, ntyp = 3
/
ATOMIC_SPECIES
In 114.82 In.upf
Sn 118.71 Sn.upf
Hg 200.59 Hg.upf
ATOMIC_POSITIONS angstrom
In 0.304 1.363 3.713
In 3.122 3.094 4.313
Sn 0.000 0.000 0.000
Sn 0.665 2.984 7.384
Sn 2.761 1.473 0.641
Hg -0.004 3.125 1.232
Hg 0.115 6.284 2.460
Hg 0.371 4.563 4.846
Hg 0.613 -0.252 6.256
Hg 2.814 4.709 1.769
Hg 3.055 -0.106 3.180
Hg 3.312 -1.827 5.565
Hg 3.431 1.332 6.793
CELL_PARAMETERS angstrom
5.546 0.000 0.000
-0.111 7.973 0.000
-2.009 -3.516 8.026
```

Computed properties:
size of the total moment = 0.00 Bohr magnetons per cell
V = 27.3 Å³ per atom
space group = P-1
ΔE_f = 0.859 kcal/mol of atoms

***

Ba2GePdF: optimized geometry, PBE. Values from VASP.

The structure in Quantum ESPRESSO input format:
```
&SYSTEM
  ibrav = 0, nat = 5, ntyp = 4
/
ATOMIC_SPECIES
Ba 137.33 Ba.upf
Ge 72.64 Ge.upf
Pd 106.42 Pd.upf
F 19.00 F.upf
ATOMIC_POSITIONS angstrom
Ba 0.000 3.149 0.000
Ba 3.149 0.000 0.000
Ge 0.000 0.000 0.000
Pd 3.149 3.149 2.177
F 0.000 0.000 2.177
CELL_PARAMETERS angstrom
6.298 0.000 0.000
0.000 6.298 0.000
0.000 0.000 4.354
```

Computed properties:
size of the total moment = 0.00 Bohr magnetons per cell
V = 34.5 Å³ per atom
space group = P4/mmm
formation energy without anion corrections = -3.0 eV per formula unit
energy above the most stable polymorph in this dataset = 2.31 eV per formula unit

***

Ti2ZnTeW: optimized geometry, PBE. Values from VASP.

The structure in Quantum ESPRESSO input format:
```
&SYSTEM
  ibrav = 0, nat = 5, ntyp = 4
/
ATOMIC_SPECIES
Ti 47.87 Ti.upf
Zn 65.41 Zn.upf
Te 127.60 Te.upf
W 183.84 W.upf
ATOMIC_POSITIONS angstrom
Ti 0.000 2.322 0.000
Ti 2.322 0.000 0.000
Zn 0.000 0.000 0.000
Te 0.000 0.000 2.437
W 2.322 2.322 2.437
CELL_PARAMETERS angstrom
4.645 0.000 0.000
0.000 4.645 0.000
0.000 0.000 4.875
```

Computed properties:
size of the total moment = 0.94 Bohr magnetons per cell
V = 21.0 Å³ per atom
space group = P4/mmm
formation energy without anion corrections = 7.0 eV per formula unit